[1]
## AgHgPbBr5 (PBE)

Data for a relaxed AgHgPbBr5 crystal.

Summary:
formation energy (no corrections) = -547 meV per atom
energy = -39.20 eV per cell

a = 7.895 Å, b = 7.895 Å, c = 10.755 Å
α = 107.44°, β = 107.44°, γ = 98.87°
Fractional coordinates of all 16 atoms:
Ag 0.094 0.906 0.750
Ag 0.906 0.094 0.250
Hg 0.420 0.580 0.750
Hg 0.580 0.420 0.250
Pb 0.000 0.500 0.000
Pb 0.500 0.000 0.500
Br 0.127 0.873 0.250
Br 0.219 0.310 0.170
Br 0.241 0.718 0.561
Br 0.282 0.759 0.939
Br 0.310 0.219 0.670
Br 0.690 0.781 0.330
Br 0.718 0.241 0.061
Br 0.759 0.282 0.439
Br 0.781 0.690 0.830
Br 0.873 0.127 0.750



[2]
## AgHg2PbBr8 (PBE)

Data for a relaxed AgHg2PbBr8 crystal.

Summary:
formation energy (no corrections) = -389 meV per atom
energy = -25.21 eV per cell

a = 8.159 Å, b = 8.159 Å, c = 8.159 Å
α = 111.00°, β = 111.00°, γ = 106.46°
Fractional coordinates of all 12 atoms:
Ag 0.000 0.000 0.000
Hg 0.500 0.500 0.000
Hg 0.750 0.250 0.500
Pb 0.250 0.750 0.500
Br 0.295 0.108 0.812
Br 0.295 0.483 0.188
Br 0.347 0.046 0.301
Br 0.517 0.705 0.812
Br 0.745 0.046 0.699
Br 0.892 0.705 0.188
Br 0.954 0.255 0.301
Br 0.954 0.653 0.699



[3]
## AgHgPd2Br (PBE)

Data for a relaxed AgHgPd2Br crystal.

Summary:
formation energy (no corrections) = 703 meV per atom
energy = -11.70 eV per cell

a = 5.105 Å, b = 5.105 Å, c = 5.168 Å
α = 90.00°, β = 90.00°, γ = 90.00°
Fractional coordinates of all 5 atoms:
Ag 0.000 0.000 0.000
Hg 0.000 0.000 0.500
Pd 0.000 0.500 0.000
Pd 0.500 0.000 0.000
Br 0.500 0.500 0.500



[4]
## AgHg6PtBr2 (PBE)

Data for a relaxed AgHg6PtBr2 crystal.

Summary:
formation energy (no corrections) = -106 meV per atom
energy = -15.11 eV per cell

a = 6.779 Å, b = 6.779 Å, c = 7.368 Å
α = 97.13°, β = 97.13°, γ = 64.15°
Fractional coordinates of all 10 atoms:
Ag 0.000 0.000 0.000
Hg 0.107 0.692 0.651
Hg 0.308 0.893 0.349
Hg 0.331 0.331 0.219
Hg 0.669 0.669 0.781
Hg 0.692 0.107 0.651
Hg 0.893 0.308 0.349
Pt 0.500 0.500 0.500
Br 0.201 0.201 0.868
Br 0.799 0.799 0.132



[5]
## PuAgHgBr6 (PBE)

Data for a relaxed PuAgHgBr6 crystal.

Summary:
formation energy (no corrections) = -839 meV per atom
energy = -70.15 eV per cell

a = 7.084 Å, b = 7.084 Å, c = 13.283 Å
α = 90.00°, β = 90.00°, γ = 120.00°
Fractional coordinates of all 18 atoms:
Pu 0.333 0.667 0.250
Pu 0.667 0.333 0.750
Ag 0.333 0.667 0.750
Ag 0.667 0.333 0.250
Hg 0.000 0.000 0.000
Hg 0.000 0.000 0.500
Br 0.003 0.341 0.125
Br 0.003 0.662 0.375
Br 0.338 0.341 0.375
Br 0.338 0.997 0.125
Br 0.341 0.003 0.625
Br 0.341 0.338 0.875
Br 0.659 0.662 0.125
Br 0.659 0.997 0.375
Br 0.662 0.003 0.875
Br 0.662 0.659 0.625
Br 0.997 0.338 0.625
Br 0.997 0.659 0.875



[6]
## Rb4Ag3HgBr12 (PBE)

Data for a relaxed Rb4Ag3HgBr12 crystal.

Summary:
formation energy (no corrections) = -879 meV per atom
energy = -50.38 eV per cell

a = 9.502 Å, b = 9.502 Å, c = 9.502 Å
α = 109.47°, β = 109.47°, γ = 109.47°
Fractional coordinates of all 20 atoms:
Rb 0.000 0.000 0.500
Rb 0.000 0.500 0.000
Rb 0.500 0.000 0.000
Rb 0.500 0.500 0.500
Ag 0.000 0.500 0.500
Ag 0.500 0.000 0.500
Ag 0.500 0.500 0.000
Hg 0.000 0.000 0.000
Br 0.000 0.253 0.253
Br 0.000 0.747 0.747
Br 0.250 0.500 0.750
Br 0.250 0.750 0.500
Br 0.253 0.000 0.253
Br 0.253 0.253 0.000
Br 0.500 0.250 0.750
Br 0.500 0.750 0.250
Br 0.747 0.000 0.747
Br 0.747 0.747 0.000
Br 0.750 0.250 0.500
Br 0.750 0.500 0.250



[7]
## Rb2AgHg2Br6 (PBE)

Data for a relaxed Rb2AgHg2Br6 crystal.

Summary:
formation energy (no corrections) = -837 meV per atom
energy = -24.63 eV per cell

a = 8.164 Å, b = 8.164 Å, c = 8.576 Å
α = 116.57°, β = 116.57°, γ = 59.54°
Fractional coordinates of all 11 atoms:
Rb 0.227 0.227 0.186
Rb 0.773 0.773 0.814
Ag 0.000 0.000 0.500
Hg 0.451 0.451 0.811
Hg 0.549 0.549 0.189
Br 0.171 0.710 0.223
Br 0.234 0.234 0.595
Br 0.290 0.829 0.777
Br 0.710 0.171 0.223
Br 0.766 0.766 0.405
Br 0.829 0.290 0.777



[8]
## Rb2Ag2HgBr6 (PBE)

Data for a relaxed Rb2Ag2HgBr6 crystal.

Summary:
formation energy (no corrections) = -851 meV per atom
energy = -27.33 eV per cell

a = 8.413 Å, b = 8.413 Å, c = 7.684 Å
α = 115.34°, β = 115.34°, γ = 55.25°
Fractional coordinates of all 11 atoms:
Rb 0.241 0.241 0.198
Rb 0.759 0.759 0.802
Ag 0.431 0.431 0.782
Ag 0.569 0.569 0.218
Hg 0.000 0.000 0.500
Br 0.191 0.700 0.202
Br 0.236 0.236 0.647
Br 0.300 0.809 0.798
Br 0.700 0.191 0.202
Br 0.764 0.764 0.353
Br 0.809 0.300 0.798



[9]
## Rb2AgHgBr6 (PBE)

Data for a relaxed Rb2AgHgBr6 crystal.

Summary:
formation energy (no corrections) = -905 meV per atom
energy = -48.35 eV per cell
excess energy over the best structure of this formula in the dataset = 0 meV/atom

a = 8.256 Å, b = 7.707 Å, c = 13.569 Å
α = 90.00°, β = 124.88°, γ = 90.00°
Fractional coordinates of all 20 atoms:
Rb 0.244 0.030 0.248
Rb 0.244 0.470 0.748
Rb 0.756 0.530 0.252
Rb 0.756 0.970 0.752
Ag 0.000 0.000 0.500
Ag 0.000 0.500 0.000
Hg 0.500 0.000 0.000
Hg 0.500 0.500 0.500
Br 0.162 0.016 0.732
Br 0.162 0.484 0.232
Br 0.234 0.737 0.534
Br 0.234 0.763 0.034
Br 0.347 0.239 0.535
Br 0.347 0.261 0.035
Br 0.653 0.739 0.965
Br 0.653 0.761 0.465
Br 0.766 0.237 0.966
Br 0.766 0.263 0.466
Br 0.838 0.516 0.768
Br 0.838 0.984 0.268



[10]
## Rb2AgHgBr6 (PBE)

Data for a relaxed Rb2AgHgBr6 crystal.

Summary:
formation energy (no corrections) = -891 meV per atom
energy = -24.04 eV per cell
excess energy over the best structure of this formula in the dataset = 14 meV/atom

a = 7.830 Å, b = 7.830 Å, c = 7.830 Å
α = 119.89°, β = 119.89°, γ = 90.20°
Fractional coordinates of all 10 atoms:
Rb 0.250 0.750 0.500
Rb 0.750 0.250 0.500
Ag 0.000 0.000 0.000
Hg 0.500 0.500 0.000
Br 0.244 0.244 0.000
Br 0.249 0.249 0.498
Br 0.249 0.751 0.000
Br 0.751 0.249 0.000
Br 0.751 0.751 0.502
Br 0.756 0.756 0.000